Below is a relaxed YSc2VC crystal, with properties calculated at the PBE level.

Properties
calculated formation energy	1.564	eV/atom
crystal system	tetragonal

Lattice parameters (Å, degrees): 4.660 4.660 5.234 90.00 90.00 90.00
Fractional coordinates of all 5 atoms:
1 Y 0.000 0.000 0.000
2 Sc 0.000 0.500 0.500
3 Sc 0.500 0.000 0.500
4 V 0.000 0.000 0.500
5 C 0.500 0.500 0.000

Below is a relaxed Sc2VZnC crystal, with properties calculated at the PBE level.

Properties
calculated formation energy	-0.339	eV/atom
crystal system	tetragonal

Lattice parameters (Å, degrees): 4.546 4.546 3.972 90.00 90.00 90.00
Fractional coordinates of all 5 atoms:
1 Sc 0.000 0.500 0.000
2 Sc 0.500 0.000 0.000
3 V 0.000 0.000 0.500
4 Zn 0.500 0.500 0.500
5 C 0.000 0.000 0.000

Below is a relaxed Zr2ScVC crystal, with properties calculated at the PBE level.

Properties
calculated formation energy	-0.191	eV/atom
crystal system	tetragonal

Lattice parameters (Å, degrees): 4.708 4.708 4.010 90.00 90.00 90.00
Fractional coordinates of all 5 atoms:
1 Zr 0.000 0.500 0.000
2 Zr 0.500 0.000 0.000
3 Sc 0.000 0.000 0.500
4 V 0.500 0.500 0.500
5 C 0.500 0.500 0.000

Below is a relaxed ScW3C crystal, with properties calculated at the PBE level.

Properties
calculated formation energy	3.762	eV/atom
crystal system	cubic

Lattice parameters (Å, degrees): 4.604 4.604 4.604 90.00 90.00 90.00
Fractional coordinates of all 5 atoms:
1 Sc 0.000 0.000 0.000
2 W 0.000 0.000 0.500
3 W 0.000 0.500 0.000
4 W 0.500 0.000 0.000
5 C 0.500 0.500 0.500

Below is a relaxed ScW2C crystal, with properties calculated at the PBE level.

Properties
calculated formation energy	1.040	eV/atom
crystal system	tetragonal

Lattice parameters (Å, degrees): 6.626 6.626 6.626 131.45 131.45 71.10
Fractional coordinates of all 8 atoms:
1 Sc 0.000 0.000 0.000
2 Sc 0.750 0.250 0.500
3 W 0.308 0.625 0.183
4 W 0.375 0.558 0.683
5 W 0.442 0.125 0.817
6 W 0.875 0.692 0.317
7 C 0.250 0.750 0.500
8 C 0.500 0.500 0.000

Below is a relaxed ScWC2 crystal, with properties calculated at the PBE level.

Properties
calculated formation energy	0.064	eV/atom
crystal system	tetragonal

Lattice parameters (Å, degrees): 5.924 5.924 5.924 130.86 130.86 72.04
Fractional coordinates of all 8 atoms:
1 Sc 0.000 0.000 0.000
2 Sc 0.750 0.250 0.500
3 W 0.250 0.750 0.500
4 W 0.500 0.500 0.000
5 C 0.168 0.625 0.043
6 C 0.375 0.418 0.543
7 C 0.582 0.125 0.957
8 C 0.875 0.832 0.457

Below is a relaxed ScWC2 crystal, with properties calculated at the PBE level.

Properties
calculated formation energy	0.728	eV/atom
crystal system	cubic

Lattice parameters (Å, degrees): 3.940 3.940 3.940 60.00 60.00 60.00
Fractional coordinates of all 4 atoms:
1 Sc 0.000 0.000 0.000
2 W 0.500 0.500 0.500
3 C 0.250 0.250 0.250
4 C 0.750 0.750 0.750

Below is a relaxed Sc3WC crystal, with properties calculated at the PBE level.

Properties
calculated formation energy	0.193	eV/atom
crystal system	cubic

Lattice parameters (Å, degrees): 4.478 4.478 4.478 90.00 90.00 90.00
Fractional coordinates of all 5 atoms:
1 Sc 0.000 0.000 0.500
2 Sc 0.000 0.500 0.000
3 Sc 0.500 0.000 0.000
4 W 0.500 0.500 0.500
5 C 0.000 0.000 0.000

Below is a relaxed Sc3WC crystal, with properties calculated at the PBE level.

Properties
calculated formation energy	1.764	eV/atom
crystal system	cubic

Lattice parameters (Å, degrees): 4.978 4.978 4.978 90.00 90.00 90.00
Fractional coordinates of all 5 atoms:
1 Sc 0.000 0.000 0.500
2 Sc 0.000 0.500 0.000
3 Sc 0.500 0.000 0.000
4 W 0.000 0.000 0.000
5 C 0.500 0.500 0.500

Below is a relaxed Sc3WC4 crystal, with properties calculated at the PBE level.

Properties
calculated formation energy	-0.364	eV/atom
crystal system	orthorhombic

Lattice parameters (Å, degrees): 6.779 6.779 6.779 150.67 140.62 49.85
Fractional coordinates of all 8 atoms:
1 Sc 0.000 0.000 0.000
2 Sc 0.308 0.808 0.500
3 Sc 0.692 0.192 0.500
4 W 0.500 0.500 0.000
5 C 0.037 0.374 0.662
6 C 0.288 0.626 0.662
7 C 0.712 0.374 0.338
8 C 0.963 0.626 0.338

Below is a relaxed ScWC2 crystal, with properties calculated at the PBE level.

Properties
calculated formation energy	-0.159	eV/atom
crystal system	trigonal

Lattice parameters (Å, degrees): 5.804 5.804 5.804 31.04 31.04 31.04
Fractional coordinates of all 4 atoms:
1 Sc 0.000 0.000 0.000
2 W 0.176 0.176 0.176
3 C 0.582 0.582 0.582
4 C 0.765 0.765 0.765

Below is a relaxed ScWC2 crystal, with properties calculated at the PBE level.

Properties
calculated formation energy	-0.375	eV/atom
crystal system	trigonal

Lattice parameters (Å, degrees): 5.582 5.582 5.582 32.59 32.59 32.59
Fractional coordinates of all 4 atoms:
1 Sc 0.000 0.000 0.000
2 W 0.500 0.500 0.500
3 C 0.244 0.244 0.244
4 C 0.756 0.756 0.756